[1]
The following is a DFT calculation (PBE-GGA) of an optimized crystal structure of Ba2Zn2W.

abc: 3.5313 3.5313 11.4879
angles: 81.16 81.16 90.00
Fractional positions:
Zn 0.7500 0.2500 0.5000
Zn 0.2500 0.7500 0.5000
Ba 0.3964 0.3964 0.2073
Ba 0.6036 0.6036 0.7927
W 0.0000 0.0000 0.0000



[2]
The following is a DFT calculation (PBE-GGA) of an optimized crystal structure of Al2Ni.

abc: 2.8185 2.8185 6.0634
angles: 90.00 90.00 120.00
Fractional positions:
Ni 0.0000 0.0000 0.0000
Al 0.6667 0.3333 0.6924
Al 0.3333 0.6667 0.3076



Table of size of the total moment (Bohr magnetons per cell), in record order: 0.00; 0.00
Table of energy of formation from the pure elements (eV per atom), in record order: 0.823; -0.316
Table of energy (eV/atom), in record order: -3.046; -4.739